1.
This record from Alexandria describes a PBEsol-optimized structure of Zn2InBr. The functional is meta-GGA SCAN.

- Energy above the most stable polymorph in this dataset: 235 meV per atom
- Formation energy without anion corrections: 253 meV per atom
- D(E_F): 0.31 states/eV/cell
- SG: Fm-3m (225)
- Volume: 91.6 Å³/f.u.

Cell lengths 5.0595, 5.0595, 5.0595 Å; angles 60.00, 60.00, 60.00 degrees
Last column: nearest neighbours and their distance in Å.
Sites, in units of the cell vectors:
Br  0.0000  0.0000  0.0000  8 Zn 3.10
Zn  0.7500  0.7500  0.7500  4 Br 3.10, 4 In 3.10
In  0.5000  0.5000  0.5000  8 Zn 3.10
Zn  0.2500  0.2500  0.2500  4 In 3.10, 4 Br 3.10

***

2.
This record from Alexandria describes a PBEsol-optimized structure of Be2Cd. The functional is meta-GGA SCAN.

- Formation energy: 0.21 eV per atom
- D(E_F): 0.72 states/eV/cell
- SG: Fd-3m (227)
- Volume: 35.6 Å³/f.u.

Cell lengths 4.6530, 4.6530, 4.6530 Å; angles 60.00, 60.00, 60.00 degrees
Last column: nearest neighbours and their distance in Å.
Sites, in units of the cell vectors:
Be  0.6250  0.1250  0.1250  6 Be 2.33
Cd  0.7500  0.7500  0.7500  12 Be 2.73, 4 Cd 2.85
Be  0.1250  0.6250  0.1250  6 Be 2.33
Cd  0.5000  0.5000  0.5000  12 Be 2.73, 4 Cd 2.85
Be  0.1250  0.1250  0.1250  6 Be 2.33
Be  0.1250  0.1250  0.6250  6 Be 2.33

***

3.
This record from Alexandria describes a PBEsol-optimized structure of ScNb2AlCu. The functional is meta-GGA SCAN.

- Formation energy: 1.64 eV per atom
- D(E_F): 2.95 states/eV/cell
- SG: P4/mmm (123)
- Volume: 104.4 Å³/f.u.

Cell lengths 4.6081, 4.6081, 4.9164 Å; angles 90.00, 90.00, 90.00 degrees
Last column: nearest neighbours and their distance in Å.
Sites, in units of the cell vectors:
Sc  0.0000  0.0000  0.0000  4 Nb 2.30, 2 Al 2.46
Nb  0.0000  0.5000  0.0000  2 Sc 2.30
Cu  0.5000  0.5000  0.5000  4 Al 3.26, 8 Nb 3.37
Al  0.0000  0.0000  0.5000  2 Sc 2.46
Nb  0.5000  0.0000  0.0000  2 Sc 2.30

***

4.
This record from Alexandria describes a PBEsol-optimized structure of RbCaMn2Cr. The functional is meta-GGA SCAN.

- Formation energy: 0.58 eV per atom
- D(E_F): 2.89 states/eV/cell
- SG: P4/mmm (123)
- Volume: 123.5 Å³/f.u.

Cell lengths 4.7003, 4.7003, 5.5905 Å; angles 90.00, 90.00, 90.00 degrees
Last column: nearest neighbours and their distance in Å.
Sites, in units of the cell vectors:
Mn  0.5000  0.0000  0.0000  2 Cr 2.35
Rb  0.5000  0.5000  0.5000  4 Ca 3.32, 8 Mn 3.65
Cr  0.0000  0.0000  0.0000  4 Mn 2.35
Mn  0.0000  0.5000  0.0000  2 Cr 2.35
Ca  0.0000  0.0000  0.5000  2 Cr 2.80

***

5.
This record from Alexandria describes a PBEsol-optimized structure of Hg2PSe. The functional is meta-GGA SCAN.

- Formation energy without anion corrections: 714 meV per atom
- D(E_F): 3.23 states/eV/cell
- SG: Fm-3m (225)
- Volume: 81.4 Å³/f.u.

Cell lengths 4.8638, 4.8638, 4.8638 Å; angles 60.00, 60.00, 60.00 degrees
Last column: nearest neighbours and their distance in Å.
Sites, in units of the cell vectors:
Se  0.5000  0.5000  0.5000  8 Hg 2.98
Hg  0.2500  0.2500  0.2500  4 Se 2.98, 4 P 2.98
Hg  0.7500  0.7500  0.7500  4 P 2.98, 4 Se 2.98
P  0.0000  0.0000  0.0000  8 Hg 2.98

***

6.
This record from Alexandria describes a PBEsol-optimized structure of Nb3Fe. The functional is meta-GGA SCAN.

- Formation energy: 0.20 eV per atom
- D(E_F): 3.78 states/eV/cell
- SG: I4/mmm (139)
- Volume: 65.1 Å³/f.u.

Cell lengths 3.7838, 3.7838, 5.2738 Å; angles 111.02, 111.02, 90.00 degrees
Last column: nearest neighbours and their distance in Å.
Sites, in units of the cell vectors:
Nb  0.7500  0.2500  0.5000  8 Nb 2.68-2.96, 4 Fe 2.96
Fe  0.0000  0.0000  0.0000  12 Nb 2.68-2.96
Nb  0.5000  0.5000  0.0000  4 Fe 2.68, 8 Nb 2.96
Nb  0.2500  0.7500  0.5000  8 Nb 2.68-2.96, 4 Fe 2.96

***

7.
This record from Alexandria describes a PBEsol-optimized structure of ScTcAgTe2. The functional is meta-GGA SCAN.

- Formation energy without anion corrections: 468 meV per atom
- D(E_F): 5.08 states/eV/cell
- SG: P4/mmm (123)
- Volume: 127.9 Å³/f.u.

Cell lengths 4.9549, 5.0800, 5.0800 Å; angles 90.00, 90.00, 90.00 degrees
Last column: nearest neighbours and their distance in Å.
Sites, in units of the cell vectors:
Te  0.0000  0.5000  0.0000  2 Tc 2.54
Sc  0.5000  0.5000  0.5000  8 Te 3.55, 4 Ag 3.59
Ag  0.5000  0.0000  0.0000  2 Tc 2.48
Tc  0.0000  0.0000  0.0000  2 Ag 2.48, 4 Te 2.54
Te  0.0000  0.0000  0.5000  2 Tc 2.54

***

8.
This record from Alexandria describes a PBEsol-optimized structure of Ti3BRu. The functional is meta-GGA SCAN.

- Formation energy: -0.14 eV per atom
- D(E_F): 4.88 states/eV/cell
- SG: Pm-3m (221)
- Volume: 72.4 Å³/f.u.

Cell lengths 4.1671, 4.1671, 4.1671 Å; angles 90.00, 90.00, 90.00 degrees
Last column: nearest neighbours and their distance in Å.
Sites, in units of the cell vectors:
Ti  0.5000  0.0000  0.0000  2 B 2.08
Ru  0.5000  0.5000  0.5000  12 Ti 2.95
Ti  0.0000  0.0000  0.5000  2 B 2.08
B  0.0000  0.0000  0.0000  6 Ti 2.08
Ti  0.0000  0.5000  0.0000  2 B 2.08

***

Q: Which value of D(E_F) does entry 6 give?
A: 3.78 states/eV/cell

***

Q: Look up the volume of the seventh one.
A: 127.9 Å³/f.u.